Record 1
DFT (GGA+U) results for a relaxed NaTc2NiO8 crystal.

Values from the calculation:
Its density of states at the Fermi level is 6.460 states/eV/cell. As for the calculated total energy: -80.9 eV per cell. Its total magnetization is 0.259 μB per atom. As for the calculated density: 3.7 g cm⁻³.

a b c (Å): 5.7229 5.7229 6.4906
angles (deg): 90.00 90.00 120.00
Last column: nearest neighbours and their distance in Å.
Space group P-3m1 (No. 164)
Unique sites:
1 Na 0.0000 0.0000 0.0000 (multiplicity 1)  6 O 2.55
2 Tc 0.3333 0.6667 0.2233 (multiplicity 2)  4 O 1.74-1.77
3 Ni 0.0000 0.0000 0.5000 (multiplicity 1)  6 O 2.05
4 O 0.1627 0.3254 0.3050 (multiplicity 6)  1 Tc 1.77
5 O 0.3333 0.6667 0.9557 (multiplicity 2)  1 Tc 1.74

---

Record 2
DFT (GGA+U) results for a relaxed NaNi2TeO6 crystal.

Values from the calculation:
Its density of states at the Fermi level is 14.434 states/eV/cell. As for the calculated total energy: -150.7 eV per cell. Its total magnetization is 0.300 μB per atom. As for the calculated density: 5.3 g cm⁻³.

a b c (Å): 5.2128 5.2128 14.4591
angles (deg): 90.00 90.00 120.00
Last column: nearest neighbours and their distance in Å.
Space group R3 (No. 146, hexagonal axes)
Unique sites:
1 Na 0.0000 0.0000 0.0000 (multiplicity 3)  6 O 2.24-2.43
2 Ni 0.0000 0.0000 0.2835 (multiplicity 3)  6 O 2.07-2.16
3 Ni 0.0000 0.0000 0.7950 (multiplicity 3)  6 O 1.99-2.10
4 Te 0.0000 0.0000 0.4811 (multiplicity 3)  6 O 1.95-1.97
5 O 0.0130 0.3347 0.5462 (multiplicity 9)  1 Te 1.95, 2 Ni 2.07-2.10
6 O 0.0269 0.6175 0.0588 (multiplicity 9)  1 Te 1.97, 2 Ni 1.99-2.16

---

Record 3
DFT (GGA+U) results for a relaxed NaNiTe2O6 crystal.

Values from the calculation:
Its density of states at the Fermi level is 3.117 states/eV/cell. As for the calculated total energy: -50.9 eV per cell. Its total magnetization is 0.201 μB per atom. As for the calculated density: 5.2 g cm⁻³.

a b c (Å): 5.4666 5.4712 6.1910
angles (deg): 63.82 89.95 60.05
Last column: nearest neighbours and their distance in Å.
Space group P1 (No. 1)
Unique sites:
1 Na 0.0000 0.0000 0.0000 (multiplicity 1)  3 O 2.33-2.34
2 Ni 0.5322 0.9355 0.5965 (multiplicity 1)  6 O 2.09-2.16
3 Te 0.2226 0.5553 0.6666 (multiplicity 1)  3 O 1.92
4 Te 0.7409 0.5185 0.2209 (multiplicity 1)  3 O 1.95
5 O 0.1149 0.4031 0.3897 (multiplicity 1)  1 Te 1.95, 1 Ni 2.16
6 O 0.3428 0.7159 0.8355 (multiplicity 1)  1 Te 1.92, 1 Ni 2.09
7 O 0.4813 0.7239 0.3897 (multiplicity 1)  1 Te 1.95, 1 Ni 2.16
8 O 0.5512 0.1065 0.8347 (multiplicity 1)  1 Te 1.92, 1 Ni 2.09
9 O 0.7937 0.0919 0.3883 (multiplicity 1)  1 Te 1.95, 1 Ni 2.16
10 O 0.9409 0.5077 0.8355 (multiplicity 1)  1 Te 1.92, 1 Ni 2.09

---

Record 4
DFT (GGA+U) results for a relaxed Na3Ni3TeO8 crystal.

Values from the calculation:
Its density of states at the Fermi level is 9.414 states/eV/cell. As for the calculated total energy: -220.7 eV per cell. Its total magnetization is 0.333 μB per atom. As for the calculated density: 4.7 g cm⁻³.

a b c (Å): 6.1004 6.1004 16.5474
angles (deg): 90.00 90.00 120.00
Last column: nearest neighbours and their distance in Å.
Space group R-3m (No. 166, hexagonal axes)
Unique sites:
1 Na 0.0000 0.5000 0.0000 (multiplicity 9)  6 O 2.38-2.48
2 Ni 0.0000 0.5000 0.5000 (multiplicity 9)  6 O 2.03-2.13
3 Te 0.0000 0.0000 0.5000 (multiplicity 3)  6 O 1.96
4 O 0.0000 0.0000 0.2279 (multiplicity 6)  3 Ni 2.03
5 O 0.0243 0.5122 0.2326 (multiplicity 18)  1 Te 1.96, 2 Ni 2.13

---

Record 5
DFT (GGA+U) results for a relaxed Na3Ni2TeO6 crystal.

Values from the calculation:
Its density of states at the Fermi level is 5.847 states/eV/cell. As for the calculated total energy: -115.6 eV per cell. Its total magnetization is 0.398 μB per atom. As for the calculated density: 4.9 g cm⁻³.

a b c (Å): 5.4271 9.4011 5.7253
angles (deg): 90.00 108.36 90.00
Last column: nearest neighbours and their distance in Å.
Space group C2/m (No. 12)
Unique sites:
1 Na 0.0000 0.0000 0.0000 (multiplicity 2)  6 O 2.40-2.44
2 Na 0.0000 0.3270 0.0000 (multiplicity 4)  6 O 2.40-2.44
3 Ni 0.0000 0.1665 0.5000 (multiplicity 4)  6 O 2.14-2.15
4 Te 0.0000 0.5000 0.5000 (multiplicity 2)  6 O 2.10
5 O 0.2321 0.3366 0.7063 (multiplicity 8)  1 Te 2.10, 2 Ni 2.14-2.15
6 O 0.2425 0.0000 0.7068 (multiplicity 4)  1 Te 2.10, 2 Ni 2.14

---

Record 6
DFT (GGA+U) results for a relaxed NaNiTeO4 crystal.

Values from the calculation:
Its density of states at the Fermi level is 5.698 states/eV/cell. As for the calculated total energy: -139.4 eV per cell. Its total magnetization is 0.295 μB per atom. As for the calculated density: 4.9 g cm⁻³.

a b c (Å): 6.3373 6.6470 8.8689
angles (deg): 90.00 90.00 90.00
Last column: nearest neighbours and their distance in Å.
Space group Imma (No. 74)
Unique sites:
1 Na 0.0000 0.2500 0.1421 (multiplicity 4)  4 O 2.24-2.25
2 Ni 0.2500 0.2500 0.7500 (multiplicity 4)  6 O 2.12-2.21
3 Te 0.0000 0.0000 0.5000 (multiplicity 4)  6 O 2.03-2.13
4 O 0.0000 0.0404 0.7267 (multiplicity 8)  1 Te 2.03, 2 Ni 2.12, 1 Na 2.25
5 O 0.2097 0.2500 0.5029 (multiplicity 8)  2 Te 2.13, 1 Ni 2.21, 1 Na 2.24

---

Record 7
DFT (GGA+U) results for a relaxed Na2NiTeO4 crystal.

Values from the calculation:
Its density of states at the Fermi level is 0.000 states/eV/cell. As for the calculated total energy: -76.8 eV per cell. Its total magnetization is 0.251 μB per atom. As for the calculated density: 4.7 g cm⁻³.

a b c (Å): 6.9535 6.6624 5.5430
angles (deg): 90.00 126.01 90.00
Last column: nearest neighbours and their distance in Å.
Space group C2 (No. 5)
Unique sites:
1 Na 0.0000 0.0000 0.0000 (multiplicity 2)  6 O 2.42-2.48
2 Na 0.0000 0.2531 0.5000 (multiplicity 2)  6 O 2.36-2.58
3 Ni 0.0000 0.7762 0.5000 (multiplicity 2)  4 O 2.06-2.08
4 Te 0.0000 0.4984 0.0000 (multiplicity 2)  4 O 1.95-2.09
5 O 0.1745 0.6958 0.9397 (multiplicity 4)  1 Te 1.95, 1 Ni 2.06
6 O 0.2386 0.9854 0.5388 (multiplicity 4)  1 Ni 2.08, 1 Te 2.09

---

Record 8
DFT (GGA+U) results for a relaxed Na3TiNi2O6 crystal.

Values from the calculation:
Its density of states at the Fermi level is 8.418 states/eV/cell. As for the calculated total energy: -135.2 eV per cell. Its total magnetization is 0.250 μB per atom. As for the calculated density: 4.3 g cm⁻³.

a b c (Å): 5.2965 8.9676 5.6859
angles (deg): 90.00 108.76 90.00
Last column: nearest neighbours and their distance in Å.
Space group C2/m (No. 12)
Unique sites:
1 Na 0.0000 0.0000 0.0000 (multiplicity 2)  6 O 2.35-2.45
2 Na 0.0000 0.3291 0.0000 (multiplicity 4)  6 O 2.35-2.38
3 Ti 0.0000 0.5000 0.5000 (multiplicity 2)  6 O 1.98-2.03
4 Ni 0.0000 0.1674 0.5000 (multiplicity 4)  6 O 2.05-2.15
5 O 0.2219 0.3389 0.7033 (multiplicity 8)  1 Ti 1.98, 2 Ni 2.05-2.15
6 O 0.2411 0.0000 0.6973 (multiplicity 4)  1 Ti 2.03, 2 Ni 2.05